Record 1
Compound: LaHoIn2
Source: the Alexandria database
Functional: GGA-PBE
Structure: relaxed

a b c (Å): 5.447 5.447 5.447
angles (deg): 60.00 60.00 60.00
Element x y z (fractional)
La: 0.000 0.000 0.000
Ho: 0.500 0.500 0.500
In: 0.250 0.250 0.250
In: 0.750 0.750 0.750

SG ... Fm-3m, No. 225
Calculated formation energy ... -0.4836 eV/atom

=====

Record 2
Compound: KLiSb2
Source: the Alexandria database
Functional: GGA-PBE
Structure: relaxed

a b c (Å): 7.583 7.583 7.583
angles (deg): 148.77 143.10 49.10
Element x y z (fractional)
K: 0.000 0.000 0.000
Li: 0.242 0.742 0.500
Sb: 0.627 0.627 0.000
Sb: 0.775 0.275 0.500

SG ... Imm2, No. 44
Polymorph energy (0 for the lowest one) ... 4.6 kJ per mole of atoms

=====

Record 3
Compound: Mg3Sc
Source: the Alexandria database
Functional: GGA-PBE
Structure: relaxed

a b c (Å): 6.225 6.225 5.280
angles (deg): 90.00 90.00 92.77
Element x y z (fractional)
Mg: 0.074 0.926 0.750
Mg: 0.099 0.566 0.250
Mg: 0.434 0.901 0.250
Mg: 0.566 0.099 0.750
Mg: 0.901 0.434 0.750
Mg: 0.926 0.074 0.250
Sc: 0.411 0.589 0.750
Sc: 0.589 0.411 0.250

SG ... Cmcm, No. 63
Calculated formation energy ... 0.2060 eV/atom

=====

Record 4
Compound: LiCuPd5
Source: the Alexandria database
Functional: GGA-PBE
Structure: relaxed

a b c (Å): 5.698 5.698 5.698
angles (deg): 127.64 126.40 78.23
Element x y z (fractional)
Li: 0.000 0.000 0.000
Cu: 0.802 0.302 0.500
Pd: 0.017 0.764 0.253
Pd: 0.264 0.264 0.000
Pd: 0.510 0.764 0.747
Pd: 0.530 0.277 0.747
Pd: 0.530 0.783 0.253

SG ... Imm2, No. 44
Polymorph energy (0 for the lowest one) ... 11.9 kJ per mole of atoms
Calculated formation energy ... 0.0664 eV/atom

=====

Record 5
Compound: Ca7Sb2N2
Source: the Alexandria database
Functional: GGA-PBE
Structure: relaxed

a b c (Å): 6.511 6.511 6.796
angles (deg): 90.00 90.00 100.28
Element x y z (fractional)
Ca: 0.000 0.000 0.000
Ca: 0.000 0.500 0.221
Ca: 0.000 0.500 0.779
Ca: 0.500 0.000 0.221
Ca: 0.500 0.000 0.779
Ca: 0.500 0.500 0.210
Ca: 0.500 0.500 0.790
Sb: 0.213 0.213 0.500
Sb: 0.787 0.787 0.500
N: 0.278 0.722 0.000
N: 0.722 0.278 0.000

SG ... Cmmm, No. 65
Uncorrected energy ... -0.3029 Ry/atom

=====

Record 6
Compound: Pr6GaSe4
Source: the Alexandria database
Functional: GGA-PBE
Structure: relaxed

a b c (Å): 7.373 7.373 21.633
angles (deg): 90.00 90.00 147.03
Element x y z (fractional)
Pr: 0.000 0.000 0.000
Pr: 0.000 0.000 0.500
Pr: 0.172 0.828 0.750
Pr: 0.275 0.725 0.084
Pr: 0.275 0.725 0.416
Pr: 0.446 0.554 0.666
Pr: 0.446 0.554 0.834
Pr: 0.554 0.446 0.166
Pr: 0.554 0.446 0.334
Pr: 0.725 0.275 0.584
Pr: 0.725 0.275 0.916
Pr: 0.828 0.172 0.250
Ga: 0.169 0.831 0.250
Ga: 0.831 0.169 0.750
Se: 0.087 0.913 0.626
Se: 0.087 0.913 0.874
Se: 0.362 0.638 0.541
Se: 0.362 0.638 0.959
Se: 0.638 0.362 0.041
Se: 0.638 0.362 0.459
Se: 0.913 0.087 0.126
Se: 0.913 0.087 0.374

SG ... Cmcm, No. 63
Uncorrected energy ... -0.4108 Ry/atom

=====

Record 7
Compound: POsI3
Source: the Alexandria database
Functional: GGA-PBE
Structure: relaxed

a b c (Å): 5.481 5.481 5.481
angles (deg): 90.00 90.00 90.00
Element x y z (fractional)
P: 0.000 0.000 0.000
Os: 0.500 0.500 0.500
I: 0.000 0.000 0.500
I: 0.000 0.500 0.000
I: 0.500 0.000 0.000

SG ... Pm-3m, No. 221
Polymorph energy (0 for the lowest one) ... 36.3 kJ per mole of atoms

=====

Record 8
Compound: Tb6Tl2Bi
Source: the Alexandria database
Functional: GGA-PBE
Structure: relaxed

a b c (Å): 8.661 8.661 4.141
angles (deg): 90.00 90.00 120.00
Element x y z (fractional)
Tb: 0.000 0.279 0.000
Tb: 0.000 0.606 0.500
Tb: 0.279 0.000 0.000
Tb: 0.394 0.394 0.500
Tb: 0.606 0.000 0.500
Tb: 0.721 0.721 0.000
Tl: 0.333 0.667 0.000
Tl: 0.667 0.333 0.000
Bi: 0.000 0.000 0.500

SG ... P-62m, No. 189
Calculated formation energy ... -0.3511 eV/atom

=====

Record 9
Compound: MgAl2Tl2
Source: the Alexandria database
Functional: GGA-PBE
Structure: relaxed

a b c (Å): 7.844 7.844 3.933
angles (deg): 90.00 90.00 90.00
Element x y z (fractional)
Mg: 0.000 0.000 0.000
Mg: 0.500 0.500 0.000
Al: 0.121 0.379 0.000
Al: 0.379 0.879 0.000
Al: 0.621 0.121 0.000
Al: 0.879 0.621 0.000
Tl: 0.181 0.681 0.500
Tl: 0.319 0.181 0.500
Tl: 0.681 0.819 0.500
Tl: 0.819 0.319 0.500

SG ... P4/mbm, No. 127
Polymorph energy (0 for the lowest one) ... 1.2 kJ per mole of atoms
Calculated formation energy ... 0.2078 eV/atom

=====

Record 10
Compound: YBeP4
Source: the Alexandria database
Functional: GGA-PBE
Structure: relaxed

a b c (Å): 5.157 5.157 5.157
angles (deg): 60.00 60.00 60.00
Element x y z (fractional)
Y: 0.000 0.000 0.000
Be: 0.250 0.250 0.250
P: 0.142 0.619 0.619
P: 0.619 0.142 0.619
P: 0.619 0.619 0.142
P: 0.619 0.619 0.619

SG ... F-43m, No. 216
Calculated formation energy ... 0.2105 eV/atom

=====

Record 11
Compound: AgB2O
Source: the Alexandria database
Functional: GGA-PBE
Structure: relaxed

a b c (Å): 4.997 4.997 4.997
angles (deg): 123.28 123.28 84.41
Element x y z (fractional)
Ag: 0.000 0.000 0.000
Ag: 0.750 0.250 0.500
B: 0.211 0.625 0.086
B: 0.375 0.461 0.586
B: 0.539 0.125 0.914
B: 0.875 0.789 0.414
O: 0.250 0.750 0.500
O: 0.500 0.500 0.000

SG ... I-42d, No. 122
Uncorrected energy ... -0.3426 Ry/atom

=====

Record 12
Compound: Ba12TlSn4O3
Source: the Alexandria database
Functional: GGA-PBE
Structure: relaxed

a b c (Å): 9.971 9.971 9.971
angles (deg): 109.47 109.47 109.47
Element x y z (fractional)
Ba: 0.000 0.276 0.276
Ba: 0.000 0.724 0.724
Ba: 0.250 0.500 0.750
Ba: 0.250 0.750 0.500
Ba: 0.276 0.000 0.276
Ba: 0.276 0.276 0.000
Ba: 0.500 0.250 0.750
Ba: 0.500 0.750 0.250
Ba: 0.724 0.000 0.724
Ba: 0.724 0.724 0.000
Ba: 0.750 0.250 0.500
Ba: 0.750 0.500 0.250
Tl: 0.000 0.000 0.000
Sn: 0.000 0.000 0.500
Sn: 0.000 0.500 0.000
Sn: 0.500 0.000 0.000
Sn: 0.500 0.500 0.500
O: 0.000 0.500 0.500
O: 0.500 0.000 0.500
O: 0.500 0.500 0.000

SG ... Im-3m, No. 229
Uncorrected energy ... -0.2788 Ry/atom

=====

Record 13
Compound: Cd2Bi5Pd12
Source: the Alexandria database
Functional: GGA-PBE
Structure: relaxed

a b c (Å): 8.323 8.323 9.552
angles (deg): 108.54 108.54 39.59
Element x y z (fractional)
Cd: 0.244 0.756 0.000
Cd: 0.756 0.244 0.000
Bi: 0.000 0.000 0.500
Bi: 0.321 0.321 0.654
Bi: 0.350 0.350 0.151
Bi: 0.650 0.650 0.849
Bi: 0.679 0.679 0.346
Pd: 0.053 0.567 0.894
Pd: 0.092 0.584 0.400
Pd: 0.110 0.110 0.299
Pd: 0.416 0.908 0.600
Pd: 0.433 0.947 0.106
Pd: 0.488 0.488 0.635
Pd: 0.512 0.512 0.365
Pd: 0.567 0.053 0.894
Pd: 0.584 0.092 0.400
Pd: 0.890 0.890 0.701
Pd: 0.908 0.416 0.600
Pd: 0.947 0.433 0.106

SG ... C2/m, No. 12
Calculated formation energy ... -0.1423 eV/atom

=====

Record 14
Compound: HfMg2Tl3Te6
Source: the Alexandria database
Functional: GGA-PBE
Structure: relaxed

a b c (Å): 7.486 7.486 8.224
angles (deg): 98.77 98.77 120.13
Element x y z (fractional)
Hf: 0.000 0.000 0.000
Mg: 0.334 0.666 0.000
Mg: 0.666 0.334 0.000
Tl: 0.166 0.834 0.500
Tl: 0.500 0.500 0.500
Tl: 0.834 0.166 0.500
Te: 0.069 0.394 0.204
Te: 0.255 0.255 0.793
Te: 0.394 0.069 0.204
Te: 0.606 0.931 0.796
Te: 0.745 0.745 0.207
Te: 0.931 0.606 0.796

SG ... C2/m, No. 12
Uncorrected energy ... -0.2825 Ry/atom

=====

Record 15
Compound: VCdSe2N
Source: the Alexandria database
Functional: GGA-PBE
Structure: relaxed

a b c (Å): 5.074 5.074 3.644
angles (deg): 90.00 90.00 90.00
Element x y z (fractional)
V: 0.000 0.000 0.000
Cd: 0.500 0.500 0.500
Se: 0.000 0.500 0.000
Se: 0.500 0.000 0.000
N: 0.000 0.000 0.500

SG ... P4/mmm, No. 123
Polymorph energy (0 for the lowest one) ... 0.0 kJ per mole of atoms

=====

Record 16
Compound: La2ErNb
Source: the Alexandria database
Functional: GGA-PBE
Structure: relaxed

a b c (Å): 12.102 12.102 12.102
angles (deg): 15.88 15.88 15.88
Element x y z (fractional)
La: 0.081 0.081 0.081
La: 0.919 0.919 0.919
Er: 0.500 0.500 0.500
Nb: 0.000 0.000 0.000

SG ... R-3m, No. 166
Calculated formation energy ... 0.5634 eV/atom

=====

Record 17
Compound: YScSeO2
Source: the Alexandria database
Functional: GGA-PBE
Structure: relaxed

a b c (Å): 6.442 3.972 7.380
angles (deg): 90.00 111.09 90.00
Element x y z (fractional)
Y: 0.189 0.250 0.436
Y: 0.811 0.750 0.564
Sc: 0.155 0.250 0.928
Sc: 0.845 0.750 0.072
Se: 0.469 0.750 0.744
Se: 0.531 0.250 0.256
O: 0.014 0.750 0.366
O: 0.032 0.750 0.897
O: 0.968 0.250 0.103
O: 0.986 0.250 0.634

SG ... P2_1/m, No. 11
Uncorrected energy ... -0.6064 Ry/atom

=====

Record 18
Compound: Sm2Al2Ga3
Source: the Alexandria database
Functional: GGA-PBE
Structure: relaxed

a b c (Å): 5.866 5.866 6.791
angles (deg): 109.13 109.13 42.53
Element x y z (fractional)
Sm: 0.140 0.140 0.278
Sm: 0.860 0.860 0.722
Al: 0.159 0.159 0.761
Al: 0.841 0.841 0.239
Ga: 0.406 0.406 0.073
Ga: 0.500 0.500 0.500
Ga: 0.594 0.594 0.927

SG ... C2/m, No. 12
Polymorph energy (0 for the lowest one) ... 0.9 kJ per mole of atoms
Calculated formation energy ... -0.5033 eV/atom

=====

Record 19
Compound: LiLaYMn
Source: the Alexandria database
Functional: GGA-PBE
Structure: relaxed

a b c (Å): 5.185 5.185 5.185
angles (deg): 60.00 60.00 60.00
Element x y z (fractional)
Li: 0.000 0.000 0.000
La: 0.750 0.750 0.750
Y: 0.250 0.250 0.250
Mn: 0.500 0.500 0.500

SG ... F-43m, No. 216
Calculated formation energy ... 0.1511 eV/atom

=====

Record 20
Compound: SbSeF
Source: the Alexandria database
Functional: GGA-PBE
Structure: relaxed

a b c (Å): 3.920 3.920 5.533
angles (deg): 90.00 90.00 120.00
Element x y z (fractional)
Sb: 0.000 0.000 0.000
Se: 0.667 0.333 0.709
F: 0.333 0.667 0.168

SG ... P3m1, No. 156
Polymorph energy (0 for the lowest one) ... 0.0 kJ per mole of atoms

=====

no.,total magnetization (μB/f.u.)
1,0.00
2,0.00
3,0.00
4,0.00
5,0.00
6,0.69
7,4.60
8,1.20
9,0.00
10,0.00
11,0.00
12,2.76
13,0.00
14,0.00
15,0.00
16,0.00
17,0.00
18,0.00
19,2.42
20,0.00